## Dy2Bi2O5 (GGA-PBE)

Data for a geometry-optimized Dy2Bi2O5 structure.

Cell and atoms, written as POSCAR:
```
Dy2Bi2O5
1.0
3.9593 0.0000 0.0000
0.0000 3.9593 0.0000
0.0000 0.0000 9.3987
Dy Bi O
2 2 5
direct
0.0000 0.0000 0.2477
0.0000 0.0000 0.7523
0.5000 0.5000 0.0000
0.5000 0.5000 0.5000
0.0000 0.0000 0.0000
0.0000 0.5000 0.3482
0.0000 0.5000 0.6518
0.5000 0.0000 0.3482
0.5000 0.0000 0.6518
```

Computed properties:
Theoretical density = 9.275 g cm⁻³
Spin magnetization = 0.02 μB per formula unit
Excess energy over the best structure of this formula in the dataset = 0.000 eV/atom

***

## Dy2Bi2O5 (GGA-PBE)

Data for a geometry-optimized Dy2Bi2O5 structure.

Cell and atoms, written as POSCAR:
```
Dy2Bi2O5
1.0
4.2518 0.0000 0.0000
0.0000 4.2518 0.0000
0.0000 0.0000 7.7757
Dy Bi O
2 2 5
direct
0.0000 0.0000 0.0000
0.0000 0.0000 0.5000
0.5000 0.5000 0.2215
0.5000 0.5000 0.7785
0.0000 0.5000 0.2981
0.0000 0.5000 0.7019
0.5000 0.0000 0.2981
0.5000 0.0000 0.7019
0.5000 0.5000 0.5000
```

Computed properties:
Theoretical density = 9.722 g cm⁻³
Spin magnetization = 0.24 μB per formula unit
Excess energy over the best structure of this formula in the dataset = 0.755 eV/atom

***

Question: What is the formula in the second record?
Answer: Dy2Bi2O5

***

Repeat the second record exactly.
## Dy2Bi2O5 (GGA-PBE)

Data for a geometry-optimized Dy2Bi2O5 structure.

Cell and atoms, written as POSCAR:
```
Dy2Bi2O5
1.0
4.2518 0.0000 0.0000
0.0000 4.2518 0.0000
0.0000 0.0000 7.7757
Dy Bi O
2 2 5
direct
0.0000 0.0000 0.0000
0.0000 0.0000 0.5000
0.5000 0.5000 0.2215
0.5000 0.5000 0.7785
0.0000 0.5000 0.2981
0.0000 0.5000 0.7019
0.5000 0.0000 0.2981
0.5000 0.0000 0.7019
0.5000 0.5000 0.5000
```

Computed properties:
Theoretical density = 9.722 g cm⁻³
Spin magnetization = 0.24 μB per formula unit
Excess energy over the best structure of this formula in the dataset = 0.755 eV/atom

***

Question: Which formula does entry 2 have?
Answer: Dy2Bi2O5

***

Question: The lowest excess energy over the best structure of this formula in the dataset belongs to which entry?
Answer: number 1